(1)
Compound: NbTe
Source: the Open Quantum Materials Database
Functional: GGA-PBE
Structure: relaxed

Cell: 4.034 4.034 4.034 Å, 60.00 60.00 60.00°
Element x y z (fractional)
Nb1 0.000 0.000 0.000
Te1 0.500 0.500 0.500

M_tot in μB/f.u.: 0.9



(2)
Compound: Nb2Te3
Source: the Open Quantum Materials Database
Functional: GGA-PBE
Structure: relaxed

Cell: 7.822 7.822 7.822 Å, 49.76 49.76 49.76°
Element x y z (fractional)
Nb1 0.000 0.000 0.000
Nb2 0.164 0.164 0.164
Nb3 0.500 0.500 0.500
Nb4 0.836 0.836 0.836
Te1 0.076 0.427 0.735
Te2 0.265 0.924 0.573
Te3 0.427 0.735 0.076
Te4 0.573 0.265 0.924
Te5 0.735 0.076 0.427
Te6 0.924 0.573 0.265

M_tot in μB/f.u.: 0.9



(3)
Compound: Nb2Te
Source: the Open Quantum Materials Database
Functional: GGA-PBE
Structure: relaxed

Cell: 4.557 4.557 4.557 Å, 60.00 60.00 60.00°
Element x y z (fractional)
Nb1 0.250 0.250 0.250
Nb2 0.750 0.750 0.750
Te1 0.000 0.000 0.000

M_tot in μB/f.u.: 0.8



(4)
Compound: Nb2Te
Source: the Open Quantum Materials Database
Functional: GGA-PBE
Structure: relaxed

Cell: 5.592 5.592 5.592 Å, 60.00 60.00 60.00°
Element x y z (fractional)
Nb1 0.000 0.000 0.000
Nb2 0.000 0.000 0.500
Nb3 0.000 0.500 0.000
Nb4 0.500 0.000 0.000
Te1 0.375 0.375 0.375
Te2 0.625 0.625 0.625

M_tot in μB/f.u.: 0.0



(5)
Compound: Nb2Te5
Source: the Open Quantum Materials Database
Functional: GGA-PBE
Structure: relaxed

Cell: 9.205 9.205 7.114 Å, 103.72 103.72 45.19°
Element x y z (fractional)
Nb1 0.090 0.604 0.681
Nb2 0.396 0.910 0.819
Nb3 0.604 0.090 0.181
Nb4 0.910 0.396 0.319
Te1 0.018 0.208 0.938
Te2 0.199 0.416 0.313
Te3 0.208 0.018 0.438
Te4 0.400 0.600 0.750
Te5 0.416 0.199 0.813
Te6 0.584 0.801 0.187
Te7 0.600 0.400 0.250
Te8 0.792 0.982 0.562
Te9 0.801 0.584 0.687
Te10 0.982 0.792 0.062

M_tot in μB/f.u.: 0.0



(6)
Compound: ThNbTe
Source: the Open Quantum Materials Database
Functional: GGA-PBE
Structure: relaxed

Cell: 4.838 4.838 4.838 Å, 60.00 60.00 60.00°
Element x y z (fractional)
Th1 0.000 0.000 0.000
Nb1 0.750 0.750 0.750
Te1 0.500 0.500 0.500

M_tot in μB/f.u.: 0.6



(7)
Compound: ThNbTe3
Source: the Open Quantum Materials Database
Functional: GGA-PBE
Structure: relaxed

Cell: 8.024 8.024 8.024 Å, 60.47 60.47 60.47°
Element x y z (fractional)
Th1 0.000 0.000 0.000
Th2 0.500 0.500 0.500
Nb1 0.250 0.250 0.250
Nb2 0.750 0.750 0.750
Te1 0.094 0.750 0.406
Te2 0.250 0.594 0.906
Te3 0.406 0.094 0.750
Te4 0.594 0.906 0.250
Te5 0.750 0.406 0.094
Te6 0.906 0.250 0.594

M_tot in μB/f.u.: 3.0



(8)
Compound: Nb3TlTe3
Source: the Open Quantum Materials Database
Functional: GGA-PBE
Structure: relaxed

Cell: 9.540 4.823 9.611 Å, 90.00 118.10 90.00°
Element x y z (fractional)
Nb1 0.030 0.250 0.145
Nb2 0.172 0.250 0.957
Nb3 0.213 0.750 0.153
Nb4 0.787 0.250 0.847
Nb5 0.828 0.750 0.043
Nb6 0.970 0.750 0.855
Tl1 0.308 0.250 0.633
Tl2 0.692 0.750 0.367
Te1 0.075 0.750 0.361
Te2 0.305 0.750 0.909
Te3 0.383 0.250 0.295
Te4 0.617 0.750 0.705
Te5 0.695 0.250 0.091
Te6 0.925 0.250 0.639

M_tot in μB/f.u.: 0.2



(9)
Compound: Nb3TlTe5
Source: the Open Quantum Materials Database
Functional: GGA-PBE
Structure: relaxed

Cell: 5.960 5.960 8.437 Å, 90.00 90.00 120.00°
Element x y z (fractional)
Nb1 0.000 0.500 0.000
Nb2 0.500 0.000 0.000
Nb3 0.500 0.500 0.000
Tl1 0.000 0.000 0.500
Te1 0.000 0.000 0.000
Te2 0.333 0.667 0.271
Te3 0.333 0.667 0.729
Te4 0.667 0.333 0.271
Te5 0.667 0.333 0.729

M_tot in μB/f.u.: 0.0



(10)
Compound: NbTl2Te3
Source: the Open Quantum Materials Database
Functional: GGA-PBE
Structure: relaxed

Cell: 8.479 3.621 11.830 Å, 90.00 98.50 90.00°
Element x y z (fractional)
Nb1 0.247 0.250 0.218
Nb2 0.753 0.750 0.782
Tl1 0.191 0.250 0.585
Tl2 0.295 0.750 0.023
Tl3 0.705 0.250 0.977
Tl4 0.809 0.750 0.415
Te1 0.008 0.250 0.816
Te2 0.362 0.750 0.389
Te3 0.411 0.750 0.798
Te4 0.589 0.250 0.202
Te5 0.638 0.250 0.611
Te6 0.992 0.750 0.184

M_tot in μB/f.u.: 0.0



(11)
Compound: NbTlTe
Source: the Open Quantum Materials Database
Functional: GGA-PBE
Structure: relaxed

Cell: 4.821 4.821 4.821 Å, 60.00 60.00 60.00°
Element x y z (fractional)
Nb1 0.000 0.000 0.000
Tl1 0.250 0.250 0.250
Te1 0.750 0.750 0.750

M_tot in μB/f.u.: 0.4



(12)
Compound: NbTlTe
Source: the Open Quantum Materials Database
Functional: GGA-PBE
Structure: relaxed

Cell: 4.872 4.872 4.872 Å, 60.00 60.00 60.00°
Element x y z (fractional)
Nb1 0.000 0.000 0.000
Tl1 0.500 0.500 0.500
Te1 0.250 0.250 0.250

M_tot in μB/f.u.: 0.1



| no. | VASP energy (eV per atom) |
| --- | --- |
| 1 | -6.229 |
| 2 | -6.232 |
| 3 | -7.218 |
| 4 | -7.436 |
| 5 | -5.323 |
| 6 | -6.771 |
| 7 | -5.583 |
| 8 | -6.366 |
| 9 | -5.651 |
| 10 | -4.182 |
| 11 | -4.725 |
| 12 | -4.474 |